No. 1
Compound: BaBeMoO2
Source: the Alexandria database
Functional: PBE+U
Structure: relaxed

The structure in CIF format:
```
data_BaBeMoO2
_symmetry_space_group_name_H-M 'P 4/m m m'
_symmetry_Int_Tables_number 123
_symmetry_space_group_name_Hall '-P 4 2'
_cell_length_a 4.0773
_cell_length_b 4.0773
_cell_length_c 4.7938
_cell_angle_alpha 90.00
_cell_angle_beta 90.00
_cell_angle_gamma 90.00
loop_
_atom_site_label
_atom_site_type_symbol
_atom_site_fract_x
_atom_site_fract_y
_atom_site_fract_z
Ba1 Ba 0.0000 0.0000 0.0000
Be1 Be 0.0000 0.0000 0.5000
Mo1 Mo 0.5000 0.5000 0.0000
O1 O 0.0000 0.5000 0.5000
```

Calculated volume, Å³/cell: 80
Energy, eV/atom: -4.059

---

No. 2
Compound: Ba2BeMoO6
Source: the Alexandria database
Functional: PBE+U
Structure: relaxed

The structure in CIF format:
```
data_Ba2BeMoO6
_symmetry_space_group_name_H-M 'R -3 m'
_symmetry_Int_Tables_number 166
_symmetry_space_group_name_Hall '-R 3 2"'
_cell_length_a 5.6394
_cell_length_b 5.6394
_cell_length_c 31.1149
_cell_angle_alpha 90.00
_cell_angle_beta 90.00
_cell_angle_gamma 120.00
loop_
_atom_site_label
_atom_site_type_symbol
_atom_site_fract_x
_atom_site_fract_y
_atom_site_fract_z
Ba1 Ba 0.0000 0.0000 0.1330
Ba2 Ba 0.0000 0.0000 0.2658
Be1 Be 0.0000 0.0000 0.3731
Mo1 Mo 0.0000 0.0000 0.0000
Mo2 Mo 0.0000 0.0000 0.5000
O1 O 0.0051 0.5026 0.2982
O2 O 0.0105 0.5052 0.1303
```

Calculated volume, Å³/cell: 857
Energy, eV/atom: -6.731

---

No. 3
Compound: BaBeMoO4
Source: the Alexandria database
Functional: PBE+U
Structure: relaxed

The structure in CIF format:
```
data_BaBeMoO4
_symmetry_space_group_name_H-M 'F -4 3 m'
_symmetry_Int_Tables_number 216
_symmetry_space_group_name_Hall 'F -4 2 3'
_cell_length_a 8.1733
_cell_length_b 8.1733
_cell_length_c 8.1733
_cell_angle_alpha 90.00
_cell_angle_beta 90.00
_cell_angle_gamma 90.00
loop_
_atom_site_label
_atom_site_type_symbol
_atom_site_fract_x
_atom_site_fract_y
_atom_site_fract_z
Ba1 Ba 0.0000 0.0000 0.0000
Be1 Be 0.0000 0.0000 0.5000
Mo1 Mo 0.2500 0.2500 0.7500
O1 O 0.1146 0.1146 0.6146
```

Calculated volume, Å³/cell: 546
Energy, eV/atom: -6.544

---

No. 4
Compound: Ba3Be2MoO6
Source: the Alexandria database
Functional: PBE+U
Structure: relaxed

The structure in CIF format:
```
data_Ba3Be2MoO6
_symmetry_space_group_name_H-M 'P -3 m 1'
_symmetry_Int_Tables_number 164
_symmetry_space_group_name_Hall '-P 3 2"'
_cell_length_a 5.6699
_cell_length_b 5.6699
_cell_length_c 7.2527
_cell_angle_alpha 90.00
_cell_angle_beta 90.00
_cell_angle_gamma 120.00
loop_
_atom_site_label
_atom_site_type_symbol
_atom_site_fract_x
_atom_site_fract_y
_atom_site_fract_z
Ba1 Ba 0.0000 0.0000 0.0000
Ba2 Ba 0.3333 0.6667 0.6792
Be1 Be 0.3333 0.6667 0.2855
Mo1 Mo 0.0000 0.0000 0.5000
O1 O 0.1752 0.3504 0.3130
```

Calculated volume, Å³/cell: 202
Energy, eV/atom: -6.474

---

Q: energy of number 4 (Ba3Be2MoO6)?
A: -6.474 eV/atom

---

Q: The lowest calculated volume belongs to which entry?
A: BaBeMoO2